[1]
DFT (PBE) results for Sc2CdH after structural relaxation.

Properties
For the polymorph energy (0 for the lowest one), the calculation gives 0.000 eV/atom. As for the space group: I-42d (122).

Unit cell a=6.4204 b=6.4204 c=5.7421 alpha=56.01 beta=56.01 gamma=90.00
Element x y z (fractional)
Sc 0.3750 0.4895 0.7500
Sc 0.5105 0.1250 0.2500
Sc 0.8750 0.7605 0.7500
Sc 0.2395 0.6250 0.2500
H 0.2500 0.7500 0.5000
H 0.5000 0.5000 0.0000
Cd 0.7500 0.2500 0.5000
Cd 0.0000 0.0000 0.0000

---

[2]
DFT (PBE) results for ScCd2SnH after structural relaxation.

Properties
As for the space group: P4/mmm (123).

Unit cell a=4.5608 b=4.5608 c=4.4183 alpha=90.00 beta=90.00 gamma=90.00
Element x y z (fractional)
Sc 0.0000 0.0000 0.5000
Cd 0.5000 0.0000 0.0000
Cd 0.0000 0.5000 0.0000
Sn 0.5000 0.5000 0.5000
H 0.0000 0.0000 0.0000

---

[3]
DFT (PBE) results for Sr2ScCdH after structural relaxation.

Properties
As for the space group: P4/mmm (123).

Unit cell a=5.6523 b=5.6523 c=4.2270 alpha=90.00 beta=90.00 gamma=90.00
Each line ends with the local moment (μB).
Element x y z (fractional)
Sr 0.0000 0.5000 0.0000  0.01
Sr 0.5000 0.0000 0.0000  0.01
Sc 0.0000 0.0000 0.5000  0.10
Cd 0.5000 0.5000 0.5000  0.00
H 0.0000 0.0000 0.0000  0.00

---

[4]
DFT (PBE) results for ScTa2CdH after structural relaxation.

Properties
As for the space group: P4/mmm (123).

Unit cell a=5.3401 b=3.1946 c=5.3401 alpha=90.00 beta=90.00 gamma=90.00
Element x y z (fractional)
Ta 0.5000 0.0000 0.0000
Ta 0.0000 0.0000 0.5000
Sc 0.0000 0.0000 0.0000
H 0.0000 0.5000 0.0000
Cd 0.5000 0.5000 0.5000

---

What are the M_tot values for these records? In order: 0.00; 0.00; 0.21; 0.00 μB per cell.
What are the DFT total energy values for these records? In order: -0.33004; -0.23827; -0.21210; -0.41427 Ry per atom.